Computed, not measured: Hg2GeAuS4 after structural relaxation at the PBE-GGA level of DFT.

Geometry as POSCAR:
```
Hg2GeAuS4
1.0
6.703 0.000 0.000
0.000 7.265 0.000
0.000 0.000 8.443
S Au Hg Ge
8 2 4 2
Direct
0.367 0.138 0.000
0.867 0.862 0.500
0.396 0.657 0.731
0.396 0.657 0.269
0.896 0.343 0.231
0.377 0.118 0.500
0.896 0.343 0.769
0.877 0.882 0.000
0.945 0.286 0.500
0.445 0.714 0.000
0.999 0.699 0.754
0.999 0.699 0.246
0.499 0.301 0.746
0.499 0.301 0.254
0.522 0.824 0.500
0.022 0.176 0.000
```

- space group = Pmn2_1, No. 31
- N(E_F) (states/eV/atom) = 0.25
- calculated total energy (eV/atom) = -3.180
- magnetic moment (μB per formula unit) = 0.0
- energy relative to the elements, uncorrected (meV per atom) = -54